A geometry-optimized CSe2BrF structure, computed with PBE-GGA.

Uncorrected energy = -2.95 eV/atom
Distance to the lowest polymorph of the same formula = 0.000 eV per atom
Space group = P4/mmm
Uncorrected formation energy = 96.1 kJ per mole of atoms
N(E_F) = 4.791 states/eV per cell
Total moment = 0.0 μB/cell

Lattice parameters (Å, degrees): 4.349 4.349 4.659 90.00 90.00 90.00
Element x y z (fractional)
C1 0.000 0.000 0.000
Se1 0.000 0.500 0.000
Se2 0.500 0.000 0.000
Br1 0.000 0.000 0.500
F1 0.500 0.500 0.500